# 1
Pm4Mg5Au2: relaxed, PBE.

Lattice parameters (Å, degrees): 7.9580 3.6461 10.3422 90.00 93.00 90.00
Fractional positions:
Pm1 0.1590 0.0000 0.3694
Pm2 0.2402 0.0000 0.9490
Pm3 0.7598 0.0000 0.0510
Pm4 0.8410 0.0000 0.6306
Mg1 0.1964 0.5000 0.6622
Mg2 0.4391 0.5000 0.1953
Mg3 0.5000 0.5000 0.5000
Mg4 0.5609 0.5000 0.8047
Mg5 0.8036 0.5000 0.3378
Au1 0.0620 0.5000 0.1416
Au2 0.9380 0.5000 0.8584

Properties
Theoretical density (Mg/m³): 6.07
DOS at the Fermi energy (states/eV/f.u.): 7.937
ΔH_f (0 K) (kcal/mol of atoms): -7.15
Crystal system: monoclinic

---

# 2
Mg2Cd2In2Sn: relaxed, PBE.

Lattice parameters (Å, degrees): 5.5498 5.5498 7.3158 98.69 98.69 49.23
Fractional positions:
Mg1 0.2132 0.2132 0.1429
Mg2 0.7868 0.7868 0.8571
Cd1 0.0735 0.0735 0.7221
Cd2 0.9265 0.9265 0.2779
In1 0.3572 0.3572 0.5693
In2 0.6428 0.6428 0.4307
Sn1 0.5000 0.5000 0.0000

Properties
Theoretical density (Mg/m³): 6.14
DOS at the Fermi energy (states/eV/f.u.): 2.167
ΔH_f (0 K) (kcal/mol of atoms): -1.08
Crystal system: monoclinic

---

# 3
Cd3SbAu: relaxed, PBE.

Lattice parameters (Å, degrees): 5.6527 5.6527 5.6527 90.00 90.00 90.00
Fractional positions:
Cd1 0.0000 0.0000 0.5000
Cd2 0.0000 0.5000 0.0000
Cd3 0.5000 0.0000 0.0000
Sb1 0.0000 0.0000 0.0000
Au1 0.5000 0.5000 0.5000

Properties
Theoretical density (Mg/m³): 6.03
DOS at the Fermi energy (states/eV/f.u.): 1.441
Energy above the most stable polymorph in this dataset (eV/atom): 0.512
Crystal system: cubic
Energy relative to the elements, uncorrected (eV/atom): 0.4549

---

# 4
KNaPuBr4: relaxed, PBE.

Lattice parameters (Å, degrees): 9.3189 9.3189 9.3189 123.78 123.46 83.84
Fractional positions:
K1 0.3634 0.1134 0.2500
K2 0.6366 0.8866 0.7500
Na1 0.0000 0.5000 0.5000
Na2 0.5000 0.5000 0.0000
Pu1 0.0000 0.0000 0.5000
Pu2 0.0000 0.5000 0.0000
Br1 0.2153 0.7319 0.4834
Br2 0.2170 0.2392 0.5222
Br3 0.2170 0.6949 0.9778
Br4 0.2515 0.2681 0.9834
Br5 0.7485 0.7319 0.0166
Br6 0.7830 0.3051 0.0222
Br7 0.7830 0.7608 0.4778
Br8 0.7847 0.2681 0.5166

Properties
Theoretical density (Mg/m³): 3.87
DOS at the Fermi energy (states/eV/f.u.): 15.870
Crystal system: orthorhombic
Energy relative to the elements, uncorrected (eV/atom): -1.5107

---

# 5
Tl4Hg2Sb2Au: relaxed, PBE.

Lattice parameters (Å, degrees): 7.3963 7.3963 5.3949 91.64 91.64 69.03
Fractional positions:
Tl1 0.1201 0.6467 0.8148
Tl2 0.3533 0.8799 0.1852
Tl3 0.6467 0.1201 0.8148
Tl4 0.8799 0.3533 0.1852
Hg1 0.3884 0.3884 0.3036
Hg2 0.6116 0.6116 0.6964
Sb1 0.1952 0.1952 0.7528
Sb2 0.8048 0.8048 0.2472
Au1 0.0000 0.0000 0.5000

Properties
Theoretical density (Mg/m³): 10.00
DOS at the Fermi energy (states/eV/f.u.): 2.172
Crystal system: monoclinic
Energy relative to the elements, uncorrected (eV/atom): -0.0200

---

# 6
Ca2CuPd: relaxed, PBE.

Lattice parameters (Å, degrees): 6.3213 6.3213 6.3213 104.56 104.56 119.81
Fractional positions:
Ca1 0.1210 0.1250 0.4960
Ca2 0.3750 0.8790 0.0040
Ca3 0.6290 0.6250 0.5040
Ca4 0.8750 0.3710 0.9960
Cu1 0.2500 0.7500 0.5000
Cu2 0.5000 0.5000 0.0000
Pd1 0.0000 0.0000 0.0000
Pd2 0.7500 0.2500 0.5000

Properties
Theoretical density (Mg/m³): 4.38
DOS at the Fermi energy (states/eV/f.u.): 1.502
ΔH_f (0 K) (kcal/mol of atoms): -2.06
Crystal system: tetragonal